Computed, not measured: a relaxed Cs3La2I9 crystal at the PBE level of DFT.

The structure in POSCAR format:
```
Cs3La2I9
1.0
7.6653 4.4255 7.1812
-7.6653 4.4255 7.1812
0.0000 -8.8511 7.1812
Cs La I
6 4 18
Direct
0.0802 0.7500 0.4198
0.2500 0.5802 0.9198
0.4198 0.0802 0.7500
0.5802 0.9198 0.2500
0.7500 0.4198 0.0802
0.9198 0.2500 0.5802
0.1485 0.1485 0.1485
0.3515 0.3515 0.3515
0.6485 0.6485 0.6485
0.8515 0.8515 0.8515
0.0716 0.2733 0.9119
0.0881 0.9284 0.7267
0.0912 0.4088 0.2500
0.2267 0.4284 0.5881
0.2500 0.0912 0.4088
0.2733 0.9119 0.0716
0.4088 0.2500 0.0912
0.4119 0.7733 0.5716
0.4284 0.5881 0.2267
0.5716 0.4119 0.7733
0.5881 0.2267 0.4284
0.5912 0.7500 0.9088
0.7267 0.0881 0.9284
0.7500 0.9088 0.5912
0.7733 0.5716 0.4119
0.9088 0.5912 0.7500
0.9119 0.0716 0.2733
0.9284 0.7267 0.0881
```

Computed properties:
Raw formation energy   -1.55 eV/atom
SG   R-3c (167)